(1)
# CePa5P6 GGA-PBE optimized geometry
# Space group ... C2/m
# N(E_F) ... 12.09 states/eV per cell
# Formation energy from the elements ... -1.360 eV per atom
data_CePa5P6
_symmetry_space_group_name_H-M 'P 1'
_symmetry_Int_Tables_number 1
_symmetry_space_group_name_Hall 'P 1'
_cell_length_a 6.9038
_cell_length_b 6.9038
_cell_length_c 6.9013
_cell_angle_alpha 99.58
_cell_angle_beta 99.58
_cell_angle_gamma 120.02
loop_
_atom_site_label
_atom_site_fract_x
_atom_site_fract_y
_atom_site_fract_z
Ce1 0.0000 0.0000 0.0000
Pa1 0.1646 0.8354 0.5000
Pa2 0.3331 0.6669 0.0000
Pa3 0.5000 0.5000 0.5000
Pa4 0.6669 0.3331 0.0000
Pa5 0.8354 0.1646 0.5000
P1 0.0844 0.4218 0.2529
P2 0.2539 0.2539 0.7491
P3 0.4218 0.0844 0.2529
P4 0.5782 0.9156 0.7471
P5 0.7461 0.7461 0.2509
P6 0.9156 0.5782 0.7471

---

(2)
# LaTeH3 GGA-PBE optimized geometry
# Space group ... Pm-3m
# Energy above the lowest structure with this stoichiometry ... 1.78 eV per formula unit
# N(E_F) ... 2.42 states/eV per cell
data_LaTeH3
_symmetry_space_group_name_H-M 'P 1'
_symmetry_Int_Tables_number 1
_symmetry_space_group_name_Hall 'P 1'
_cell_length_a 4.2133
_cell_length_b 4.2133
_cell_length_c 4.2133
_cell_angle_alpha 90.00
_cell_angle_beta 90.00
_cell_angle_gamma 90.00
loop_
_atom_site_label
_atom_site_fract_x
_atom_site_fract_y
_atom_site_fract_z
La1 0.0000 0.0000 0.0000
Te1 0.5000 0.5000 0.5000
H1 0.0000 0.5000 0.5000
H2 0.5000 0.0000 0.5000
H3 0.5000 0.5000 0.0000